First-principles (PBE) data for a relaxed structure of Tm6Sb2AsSe3, as listed in the Alexandria database.

a = 9.260 Å, b = 9.260 Å, c = 8.273 Å
α = 102.51°, β = 102.51°, γ = 25.82°
Fractional positions:
Tm 0.002 0.002 0.264
Tm 0.339 0.339 0.908
Tm 0.340 0.340 0.428
Tm 0.660 0.660 0.572
Tm 0.661 0.661 0.092
Tm 0.998 0.998 0.736
Sb 0.168 0.168 0.835
Sb 0.832 0.832 0.165
As 0.500 0.500 0.500
Se 0.169 0.169 0.336
Se 0.500 0.500 0.000
Se 0.831 0.831 0.664

Results
E_form (uncorrected) in eV/atom: -1.45
SG: C2/m
Total energy in eV/atom: -5.63

First-principles (PBE) data for a relaxed structure of AlZnW2, as listed in the Alexandria database.

a = 5.105 Å, b = 5.105 Å, c = 2.712 Å
α = 97.98°, β = 97.98°, γ = 115.95°
Fractional positions:
Al 0.000 0.000 0.000
Zn 0.500 0.500 0.000
W 0.000 0.500 0.500
W 0.500 0.000 0.500

Results
Excess energy over the best structure of this formula in the dataset in meV/atom: 77
SG: C2/m
Energy of formation in eV per atom: 0.140
Total energy in eV/atom: -7.59

First-principles (PBE) data for a relaxed structure of RbGa2HgI6, as listed in the Alexandria database.

a = 11.215 Å, b = 11.215 Å, c = 8.909 Å
α = 104.65°, β = 104.65°, γ = 83.65°
Fractional positions:
Rb 0.161 0.839 0.750
Rb 0.839 0.161 0.250
Ga 0.194 0.355 0.757
Ga 0.355 0.194 0.257
Ga 0.645 0.806 0.743
Ga 0.806 0.645 0.243
Hg 0.286 0.714 0.250
Hg 0.714 0.286 0.750
I 0.048 0.553 0.787
I 0.061 0.160 0.653
I 0.160 0.061 0.153
I 0.337 0.349 0.545
I 0.349 0.337 0.045
I 0.447 0.952 0.713
I 0.553 0.048 0.287
I 0.651 0.663 0.955
I 0.663 0.651 0.455
I 0.840 0.939 0.847
I 0.939 0.840 0.347
I 0.952 0.447 0.213

Results
E_form (uncorrected) in eV/atom: -0.57
SG: C2/c
Total energy in eV/atom: -2.23

First-principles (PBE) data for a relaxed structure of Ti5SnH, as listed in the Alexandria database.

a = 5.470 Å, b = 5.470 Å, c = 5.470 Å
α = 130.18°, β = 117.88°, γ = 83.52°
Fractional positions:
Ti 0.000 0.000 0.000
Ti 0.083 0.332 0.751
Ti 0.419 0.668 0.751
Ti 0.581 0.332 0.249
Ti 0.917 0.668 0.249
Sn 0.500 0.000 0.500
H 0.000 0.500 0.500

Results
SG: Immm
Total energy in eV/atom: -6.90

First-principles (PBE) data for a relaxed structure of AlV4Ru5, as listed in the Alexandria database.

a = 2.997 Å, b = 2.997 Å, c = 15.149 Å
α = 90.00°, β = 90.00°, γ = 90.00°
Fractional positions:
Al 0.000 0.000 0.000
V 0.000 0.000 0.197
V 0.000 0.000 0.398
V 0.000 0.000 0.602
V 0.000 0.000 0.803
Ru 0.500 0.500 0.102
Ru 0.500 0.500 0.303
Ru 0.500 0.500 0.500
Ru 0.500 0.500 0.697
Ru 0.500 0.500 0.898

Results
SG: P4/mmm
Energy of formation in eV per atom: -0.394
Total energy in eV/atom: -9.05

First-principles (PBE) data for a relaxed structure of BaBe2Ag2, as listed in the Alexandria database.

a = 7.943 Å, b = 7.943 Å, c = 3.072 Å
α = 90.00°, β = 90.00°, γ = 90.00°
Fractional positions:
Ba 0.000 0.000 0.000
Ba 0.500 0.500 0.000
Be 0.101 0.399 0.000
Be 0.399 0.899 0.000
Be 0.601 0.101 0.000
Be 0.899 0.601 0.000
Ag 0.153 0.653 0.500
Ag 0.347 0.153 0.500
Ag 0.653 0.847 0.500
Ag 0.847 0.347 0.500

Results
Excess energy over the best structure of this formula in the dataset in meV/atom: 207
SG: P4/mbm
Energy of formation in eV per atom: 0.402
Total energy in eV/atom: -2.61

Copy entry 2 word for word.
First-principles (PBE) data for a relaxed structure of AlZnW2, as listed in the Alexandria database.

a = 5.105 Å, b = 5.105 Å, c = 2.712 Å
α = 97.98°, β = 97.98°, γ = 115.95°
Fractional positions:
Al 0.000 0.000 0.000
Zn 0.500 0.500 0.000
W 0.000 0.500 0.500
W 0.500 0.000 0.500

Results
Excess energy over the best structure of this formula in the dataset in meV/atom: 77
SG: C2/m
Energy of formation in eV per atom: 0.140
Total energy in eV/atom: -7.59

- Which formula does entry 5 have?
  AlV4Ru5

- Which of these has the highest total energy?
  RbGa2HgI6

- Which formula does entry 4 have?
  Ti5SnH